## PrHg2MoO6 (GGA+U)

Data for a geometry-optimized PrHg2MoO6 structure.

Output
* total energy: -57.0 eV per cell
* SG: P-1 (2)

Geometry as POSCAR:
```
PrHg2MoO6
1.0
-3.270 0.498 4.747
1.957 -2.098 5.027
1.848 3.911 4.238
Pr O Hg Mo
1 6 2 1
direct
0.816 0.816 0.552 Pr
0.976 0.544 0.277 O
0.106 0.420 0.821 O
0.526 0.213 0.282 O
0.428 0.661 0.819 O
0.657 0.088 0.826 O
0.204 0.972 0.283 O
0.062 0.049 0.814 Hg
0.571 0.583 0.289 Hg
0.316 0.316 0.052 Mo
```